Entry 1:
Compound: KInAgI3
Source: Alexandria
Functional: PBE
Structure: optimized geometry

The value obtained for the energy relative to the elements, uncorrected is -714 meV/atom. For the density, the calculation gives 4.2 g/cm3. The value obtained for the total magnetization is 0.00 Bohr magnetons per cell.

It has space group P2_1/m (No. 11), with a = 10.4282 Å, b = 4.7149 Å, c = 10.5887 Å, α = 90.00°, β = 99.78° and γ = 90.00°. The asymmetric unit holds K at (0.1525, 0.2500, 0.1685), In at (0.3269, 0.7500, 0.8100), Ag at (0.4246, 0.7500, 0.4190), I at (0.0978, 0.2500, 0.8335), I at (0.2943, 0.2500, 0.4996) and I at (0.4011, 0.7500, 0.1427).

=====

Entry 2:
Compound: KIn5Hg6
Source: Alexandria
Functional: PBE
Structure: optimized geometry

As for the energy of formation from the pure elements: -54 meV per atom. For the density, the calculation gives 9.2 g/cm3. The value obtained for the total magnetization is 0.00 Bohr magnetons per cell.

It has space group C2/m (No. 12), with a = 9.7028 Å, b = 15.4897 Å, c = 5.0567 Å, α = 90.00°, β = 120.66° and γ = 90.00°. The asymmetric unit holds K at (0.0000, 0.0000, 0.0000), In at (0.0000, 0.1643, 0.5000), In at (0.0000, 0.3234, 0.0000), In at (0.0000, 0.5000, 0.5000), Hg at (0.2284, 0.5000, 0.2316) and Hg at (0.2369, 0.3304, 0.7368).

=====

Entry 3:
Compound: LiSc2In
Source: Alexandria
Functional: PBE
Structure: optimized geometry

As for the energy of formation from the pure elements: 126 meV per atom. For the density, the calculation gives 3.9 g/cm3. The value obtained for the total magnetization is 2.75 Bohr magnetons per cell.

It has space group I-42d (No. 122), with a = 7.8837 Å, b = 7.8837 Å, c = 5.7387 Å, α = 90.00°, β = 90.00° and γ = 90.00°. The asymmetric unit holds Li at (0.0000, 0.0000, 0.0000), Sc at (0.2347, 0.2500, 0.1250) and In at (0.0000, 0.0000, 0.5000).

=====

Entry 4:
Compound: NaLi
Source: Alexandria
Functional: PBE
Structure: optimized geometry

Its distance to the lowest polymorph of the same formula is 0.325 eV per atom. As for the energy of formation from the pure elements: 365 meV per atom. For the density, the calculation gives 0.6 g/cm3. The value obtained for the total magnetization is 0.00 Bohr magnetons per cell.

It has space group P6_3/mmc (No. 194), with a = 5.3466 Å, b = 5.3466 Å, c = 6.2674 Å, α = 90.00°, β = 90.00° and γ = 120.00°. The asymmetric unit holds Na at (0.3333, 0.6667, 0.2500) and Li at (0.3333, 0.6667, 0.7500).

=====

Listing N(E_F) for the structures above in their given order: 0.0000 0.3681 1.0265 0.6088 states/eV per atom.
Listing calculated total energy for the structures above in their given order: -15.624 -17.251 -16.811 -2.504 eV per formula unit.